Compound: Sr2TbCrO6
Source: the Alexandria database
Functional: GGA+U
Structure: optimized geometry

energy = -6.983 eV/atom

The structure in CIF format:
```
data_Sr2TbCrO6
_chemical_formula_sum 'Sr8 Tb4 Cr4 O24'
_space_group_name_H-M_alt 'F m -3 m'
_space_group_IT_number 225
_space_group_name_Hall '-F 4 2 3'
_cell_length_a 8.202
_cell_length_b 8.202
_cell_length_c 8.202
_cell_angle_alpha 90.00
_cell_angle_beta 90.00
_cell_angle_gamma 90.00
loop_
_atom_site_label
_atom_site_fract_x
_atom_site_fract_y
_atom_site_fract_z
_atom_site_occupancy
Sr1 0.250 0.250 0.250 1
Tb1 0.000 0.000 0.000 1
Cr1 0.000 0.000 0.500 1
O1 0.000 0.000 0.270 1
```